# CuSi2Rh, PBEsol geometry, DFT SCAN
# **Fermi-level density of states**: 1.9 states/eV/f.u.
# **Crystal system**: trigonal
# **E_form (uncorrected)**: -58.5 meV/atom
data_CuSi2Rh
_chemical_formula_sum 'Cu3 Si6 Rh3'
_space_group_name_H-M_alt 'R 3 m'
_space_group_IT_number 160
_space_group_name_Hall 'R 3 -2"'
_cell_length_a 2.8373
_cell_length_b 2.8373
_cell_length_c 22.6783
_cell_angle_alpha 90.00
_cell_angle_beta 90.00
_cell_angle_gamma 120.00
loop_
_atom_site_label
_atom_site_fract_x
_atom_site_fract_y
_atom_site_fract_z
Cu1 0.0000 0.0000 0.0000
Si1 0.0000 0.0000 0.2560
Si2 0.0000 0.0000 0.5023
Rh1 0.0000 0.0000 0.7606